Entry 1:
Ba2NaIn4Hg3: relaxed, PBE.

The structure in CIF format:
```
data_Ba2NaIn4Hg3
_chemical_formula_sum 'Ba2 Na1 In4 Hg3'
_cell_length_a 4.9575
_cell_length_b 4.9575
_cell_length_c 12.5584
_cell_angle_alpha 90.00
_cell_angle_beta 90.00
_cell_angle_gamma 90.00
_space_group_name_H-M_alt 'P 1'
_space_group_IT_number 1
loop_
_space_group_symop_operation_xyz
'x,y,z'
loop_
_atom_site_label
_atom_site_type_symbol
_atom_site_fract_x
_atom_site_fract_y
_atom_site_fract_z
Ba1 Ba 0.5000 0.0000 0.2402
Ba2 Ba 0.0000 0.5000 0.7598
Hg1 Hg 0.0000 0.5000 0.1323
Hg2 Hg 0.5000 0.0000 0.8677
Hg3 Hg 0.0000 0.0000 0.5000
In1 In 0.0000 0.0000 0.0000
In2 In 0.5000 0.5000 0.0000
In3 In 0.0000 0.5000 0.3602
In4 In 0.5000 0.0000 0.6398
Na1 Na 0.5000 0.5000 0.5000
```

Summary:
M_tot   0.0 μB per formula unit
V   30.86 Å³/atom
Raw total energy   -2.0207 eV per atom

=====

Entry 2:
Sc8Ga2Tc: relaxed, PBE.

The structure in CIF format:
```
data_Sc8Ga2Tc
_chemical_formula_sum 'Sc8 Ga2 Tc1'
_cell_length_a 4.8242
_cell_length_b 6.4641
_cell_length_c 8.4581
_cell_angle_alpha 111.18
_cell_angle_beta 106.57
_cell_angle_gamma 90.00
_space_group_name_H-M_alt 'P 1'
_space_group_IT_number 1
loop_
_space_group_symop_operation_xyz
'x,y,z'
loop_
_atom_site_label
_atom_site_type_symbol
_atom_site_fract_x
_atom_site_fract_y
_atom_site_fract_z
Sc1 Sc 0.9830 0.2150 0.9659
Sc2 Sc 0.8055 0.7182 0.6111
Sc3 Sc 0.0170 0.7850 0.0341
Sc4 Sc 0.5939 0.4347 0.1877
Sc5 Sc 0.6567 0.9491 0.3134
Sc6 Sc 0.4061 0.5653 0.8123
Sc7 Sc 0.1945 0.2818 0.3889
Sc8 Sc 0.3433 0.0509 0.6866
Ga1 Ga 0.1771 0.6920 0.3542
Ga2 Ga 0.8229 0.3080 0.6458
Tc1 Tc 0.5000 0.0000 0.0000
```

Summary:
M_tot   0.0 μB per formula unit
V   21.29 Å³/atom
Raw total energy   -6.4109 eV per atom

=====

Entry 3:
La6SnHg: relaxed, PBE.

The structure in CIF format:
```
data_La6SnHg
_chemical_formula_sum 'La6 Sn1 Hg1'
_cell_length_a 5.0361
_cell_length_b 5.0361
_cell_length_c 10.0132
_cell_angle_alpha 90.00
_cell_angle_beta 90.00
_cell_angle_gamma 90.00
_space_group_name_H-M_alt 'P 1'
_space_group_IT_number 1
loop_
_space_group_symop_operation_xyz
'x,y,z'
loop_
_atom_site_label
_atom_site_type_symbol
_atom_site_fract_x
_atom_site_fract_y
_atom_site_fract_z
La1 La 0.0000 0.5000 0.7478
La2 La 0.5000 0.5000 0.5000
La3 La 0.5000 0.5000 0.0000
La4 La 0.0000 0.5000 0.2522
La5 La 0.5000 0.0000 0.7478
La6 La 0.5000 0.0000 0.2522
Sn1 Sn 0.0000 0.0000 0.5000
Hg1 Hg 0.0000 0.0000 0.0000
```

Summary:
M_tot   0.0 μB per formula unit
V   31.74 Å³/atom
Raw total energy   -4.5828 eV per atom

=====

Entry 4:
NdMg2Zn2Ga: relaxed, PBE.

The structure in CIF format:
```
data_NdMg2Zn2Ga
_chemical_formula_sum 'Nd1 Mg2 Zn2 Ga1'
_cell_length_a 5.0694
_cell_length_b 5.0694
_cell_length_c 6.6041
_cell_angle_alpha 112.57
_cell_angle_beta 112.57
_cell_angle_gamma 90.00
_space_group_name_H-M_alt 'P 1'
_space_group_IT_number 1
loop_
_space_group_symop_operation_xyz
'x,y,z'
loop_
_atom_site_label
_atom_site_type_symbol
_atom_site_fract_x
_atom_site_fract_y
_atom_site_fract_z
Mg1 Mg 0.7500 0.2500 0.5000
Mg2 Mg 0.2500 0.7500 0.5000
Nd1 Nd 0.5000 0.5000 0.0000
Ga1 Ga 0.0000 0.0000 0.0000
Zn1 Zn 0.2141 0.2141 0.4282
Zn2 Zn 0.7859 0.7859 0.5718
```

Summary:
M_tot   0.0 μB per formula unit
V   23.76 Å³/atom
Raw total energy   -2.2276 eV per atom

=====

Entry 5:
DyB2Ir3: relaxed, PBE.

The structure in CIF format:
```
data_DyB2Ir3
_chemical_formula_sum 'Dy3 B6 Ir9'
_cell_length_a 3.6158
_cell_length_b 8.8919
_cell_length_c 8.8921
_cell_angle_alpha 120.00
_cell_angle_beta 90.00
_cell_angle_gamma 90.00
_space_group_name_H-M_alt 'P 1'
_space_group_IT_number 1
loop_
_space_group_symop_operation_xyz
'x,y,z'
loop_
_atom_site_label
_atom_site_type_symbol
_atom_site_fract_x
_atom_site_fract_y
_atom_site_fract_z
B1 B 0.5000 0.8102 0.1898
B2 B 0.5000 0.8102 0.6205
B3 B 0.5000 0.3795 0.1898
B4 B 0.5000 0.1898 0.8102
B5 B 0.5000 0.1898 0.3795
B6 B 0.5000 0.6205 0.8102
Dy1 Dy 0.5000 0.0000 0.0000
Dy2 Dy 0.0000 0.6667 0.3333
Dy3 Dy 0.0000 0.3333 0.6667
Ir1 Ir 0.5000 0.5000 0.0000
Ir2 Ir 0.0000 0.7176 0.0000
Ir3 Ir 0.5000 0.0000 0.5000
Ir4 Ir 0.5000 0.5000 0.5000
Ir5 Ir 0.0000 0.0000 0.7176
Ir6 Ir 0.0000 0.0000 0.2824
Ir7 Ir 0.0000 0.2824 0.2824
Ir8 Ir 0.0000 0.7176 0.7176
Ir9 Ir 0.0000 0.2824 0.0000
```

Summary:
M_tot   0.0 μB per formula unit
V   13.76 Å³/atom
Raw total energy   -7.8032 eV per atom
Polymorph energy (0 for the lowest one)   0.305 eV per atom

=====

Entry 6:
Na2OsPd: relaxed, PBE.

The structure in CIF format:
```
data_Na2OsPd
_chemical_formula_sum 'Na2 Os1 Pd1'
_cell_length_a 4.7130
_cell_length_b 4.7130
_cell_length_c 4.7130
_cell_angle_alpha 60.00
_cell_angle_beta 60.00
_cell_angle_gamma 60.00
_space_group_name_H-M_alt 'P 1'
_space_group_IT_number 1
loop_
_space_group_symop_operation_xyz
'x,y,z'
loop_
_atom_site_label
_atom_site_type_symbol
_atom_site_fract_x
_atom_site_fract_y
_atom_site_fract_z
Na1 Na 0.7500 0.7500 0.7500
Na2 Na 0.2500 0.2500 0.2500
Os1 Os 0.5000 0.5000 0.5000
Pd1 Pd 0.0000 0.0000 0.0000
```

Summary:
M_tot   2.4 μB per formula unit
V   18.51 Å³/atom
Raw total energy   -3.5886 eV per atom
Polymorph energy (0 for the lowest one)   0.047 eV per atom

=====

Entry 7:
MgTaB3: relaxed, PBE.

The structure in CIF format:
```
data_MgTaB3
_chemical_formula_sum 'Mg1 Ta1 B3'
_cell_length_a 4.2684
_cell_length_b 4.2684
_cell_length_c 4.2684
_cell_angle_alpha 90.00
_cell_angle_beta 90.00
_cell_angle_gamma 90.00
_space_group_name_H-M_alt 'P 1'
_space_group_IT_number 1
loop_
_space_group_symop_operation_xyz
'x,y,z'
loop_
_atom_site_label
_atom_site_type_symbol
_atom_site_fract_x
_atom_site_fract_y
_atom_site_fract_z
Mg1 Mg 0.5000 0.5000 0.5000
B1 B 0.5000 0.0000 0.0000
B2 B 0.0000 0.5000 0.0000
B3 B 0.0000 0.0000 0.5000
Ta1 Ta 0.0000 0.0000 0.0000
```

Summary:
M_tot   0.0 μB per formula unit
V   15.55 Å³/atom
Raw total energy   -5.5883 eV per atom
Polymorph energy (0 for the lowest one)   0.000 eV per atom

=====

Entry 8:
Li2Mg6Rh: relaxed, PBE.

The structure in CIF format:
```
data_Li2Mg6Rh
_chemical_formula_sum 'Li2 Mg6 Rh1'
_cell_length_a 4.7292
_cell_length_b 4.7286
_cell_length_c 8.8866
_cell_angle_alpha 90.00
_cell_angle_beta 90.00
_cell_angle_gamma 120.00
_space_group_name_H-M_alt 'P 1'
_space_group_IT_number 1
loop_
_space_group_symop_operation_xyz
'x,y,z'
loop_
_atom_site_label
_atom_site_type_symbol
_atom_site_fract_x
_atom_site_fract_y
_atom_site_fract_z
Mg1 Mg 0.3333 0.6666 0.4095
Mg2 Mg 0.0001 0.0001 0.8024
Mg3 Mg 0.3333 0.6666 0.0523
Mg4 Mg 0.9999 0.9999 0.1976
Mg5 Mg 0.6667 0.3334 0.5905
Mg6 Mg 0.6667 0.3334 0.9477
Rh1 Rh 0.0000 0.0000 0.5000
Li1 Li 0.6666 0.3332 0.2847
Li2 Li 0.3334 0.6668 0.7153
```

Summary:
M_tot   0.0 μB per formula unit
V   19.12 Å³/atom
Raw total energy   -2.4767 eV per atom
Polymorph energy (0 for the lowest one)   0.000 eV per atom

=====

Entry 9:
Si3RuS: relaxed, PBE.

The structure in CIF format:
```
data_Si3RuS
_chemical_formula_sum 'Si3 Ru1 S1'
_cell_length_a 4.5886
_cell_length_b 4.5886
_cell_length_c 4.5886
_cell_angle_alpha 90.00
_cell_angle_beta 90.00
_cell_angle_gamma 90.00
_space_group_name_H-M_alt 'P 1'
_space_group_IT_number 1
loop_
_space_group_symop_operation_xyz
'x,y,z'
loop_
_atom_site_label
_atom_site_type_symbol
_atom_site_fract_x
_atom_site_fract_y
_atom_site_fract_z
Si1 Si 0.0000 0.0000 0.5000
Si2 Si 0.0000 0.5000 0.0000
Si3 Si 0.5000 0.0000 0.0000
Ru1 Ru 0.0000 0.0000 0.0000
S1 S 0.5000 0.5000 0.5000
```

Summary:
M_tot   0.0 μB per formula unit
V   19.32 Å³/atom
Uncorrected formation energy   0.20 eV per atom
Raw total energy   -5.7314 eV per atom
Polymorph energy (0 for the lowest one)   0.000 eV per atom